The following is a DFT calculation (PBE) of a geometry-optimized Ca3Ge2Pd4 structure.

Geometry as POSCAR:
```
Ca3Ge2Pd4
1.0
4.3122 0.0000 0.0000
-2.1561 5.2141 0.2404
0.0000 -1.8873 8.4676
Ca Ge Pd
3 2 4
direct
0.3802 0.7604 0.6143 Ca
0.0000 0.0000 0.0000 Ca
0.6198 0.2396 0.3857 Ca
0.3164 0.6328 0.2169 Ge
0.6836 0.3672 0.7831 Ge
0.7236 0.4472 0.0876 Pd
0.0929 0.1858 0.6354 Pd
0.9071 0.8142 0.3646 Pd
0.2764 0.5528 0.9124 Pd
```

Calculated values
DOS(E_F)   4.30 states/eV/cell
Final energy   -4.729 eV per atom
V   192.35 Å³ per cell
Formation energy from the elements   -0.728 eV per atom
Magnetization   0.000 μB/f.u.

The following is a DFT calculation (PBE) of a geometry-optimized Pr2ZnNi3As4 structure.

Geometry as POSCAR:
```
Pr2ZnNi3As4
1.0
4.2649 0.0000 0.0000
0.0000 4.2649 0.0000
0.0000 0.0000 9.7557
Pr Zn Ni As
2 1 3 4
direct
0.5000 0.0000 0.2427 Pr
0.0000 0.5000 0.7573 Pr
0.5000 0.5000 0.5000 Zn
0.0000 0.0000 0.5000 Ni
0.5000 0.0000 0.8859 Ni
0.0000 0.5000 0.1141 Ni
0.5000 0.5000 0.0000 As
0.0000 0.0000 0.0000 As
0.5000 0.0000 0.6405 As
0.0000 0.5000 0.3595 As
```

Calculated values
DOS(E_F)   4.66 states/eV/cell
Final energy   -5.422 eV per atom
V   177.45 Å³ per cell
Formation energy from the elements   -0.745 eV per atom
Magnetization   0.000 μB/f.u.

The following is a DFT calculation (PBE) of a geometry-optimized K2LiRh structure.

Geometry as POSCAR:
```
K2LiRh
1.0
-2.3079 -0.0159 3.8717
-2.6058 -3.5112 1.0944
4.5513 -4.5448 5.2318
K Li Rh
2 1 1
direct
0.0399 0.0399 0.8889 K
0.2095 0.2095 0.3613 K
0.4594 0.4594 0.6248 Li
0.7912 0.7912 0.6249 Rh
```

Calculated values
DOS(E_F)   6.04 states/eV/cell
Final energy   -2.498 eV per atom
V   138.34 Å³ per cell
Formation energy from the elements   0.367 eV per atom
Magnetization   0.302 μB/f.u.

The following is a DFT calculation (PBE) of a geometry-optimized Ho2VCo2 structure.

Geometry as POSCAR:
```
Ho2VCo2
1.0
-1.4624 1.5104 5.0735
-3.7531 -2.9466 2.7187
4.3290 -4.1720 3.6856
Ho V Co
4 2 4
direct
0.4679 0.2335 0.1466 Ho
0.7665 0.5321 0.3534 Ho
0.5321 0.7665 0.8534 Ho
0.2335 0.4679 0.6466 Ho
0.0891 0.9109 0.2500 V
0.9109 0.0891 0.7500 V
0.7339 0.0047 0.5024 Co
0.9953 0.2661 0.9976 Co
0.2661 0.9953 0.4976 Co
0.0047 0.7339 0.0024 Co
```

Calculated values
DOS(E_F)   10.99 states/eV/cell
Final energy   -6.674 eV per atom
V   182.12 Å³ per cell
Formation energy from the elements   -0.177 eV per atom
Magnetization   0.000 μB/f.u.